Tc2Pb | PBE | optimized geometry

Results
Offset from the most stable computed form = 232 meV per atom
Crystal system = orthorhombic
Energy = -7.55 eV/atom

Cell and atoms, written as CIF:
```
data_Tc2Pb
_chemical_formula_sum 'Tc4 Pb2'
_cell_length_a 3.030
_cell_length_b 3.816
_cell_length_c 9.105
_cell_angle_alpha 90.00
_cell_angle_beta 90.00
_cell_angle_gamma 90.00
_symmetry_space_group_name_H-M 'I m m m'
_symmetry_Int_Tables_number 71
_symmetry_space_group_name_Hall '-I 2 2'
loop_
_atom_site_label
_atom_site_type_symbol
_atom_site_fract_x
_atom_site_fract_y
_atom_site_fract_z
Tc1 Tc 0.000 0.000 0.185
Pb1 Pb 0.000 0.000 0.500
```